Computed, not measured: a relaxed SiBS2 crystal at the PBE level of DFT.

a = 6.727 Å, b = 6.727 Å, c = 6.727 Å
α = 32.49°, β = 32.49°, γ = 32.49°
Element x y z (fractional)
Si (0.500, 0.500, 0.500)
S (0.089, 0.089, 0.089)
S (0.911, 0.911, 0.911)
B (0.000, 0.000, 0.000)

SG: R-3m (166)
Electronic total energy in eV per atom: -4.673
E_form (uncorrected) in meV per atom: 416
Total magnetic moment in μB per formula unit: 0.00